Entry from Alexandria: an optimized crystal structure of LaDy4Hg2 (PBE).

abc: 3.5495 9.0808 13.9587
angles: 96.01 82.70 78.73
Fractional coordinates of all 14 atoms:
La 0.1018 0.9383 0.8581
La 0.8982 0.0617 0.1419
Dy 0.6213 0.4099 0.3474
Dy 0.2728 0.0707 0.3838
Dy 0.1527 0.6711 0.0234
Dy 0.7272 0.9293 0.6162
Dy 0.0093 0.2582 0.7233
Dy 0.8473 0.3289 0.9766
Dy 0.3787 0.5901 0.6526
Dy 0.9907 0.7418 0.2767
Hg 0.7833 0.5952 0.8383
Hg 0.4004 0.7403 0.4588
Hg 0.2167 0.4048 0.1617
Hg 0.5996 0.2597 0.5412

Output
Relative energy among the computed polymorphs   0.000 eV/atom
ρ   9.112 g/cm3
VASP energy   -3.519 eV/atom
Symmetry   C2/m

Entry from Alexandria: an optimized crystal structure of La3DyHg6 (PBE).

abc: 5.2758 9.5984 11.4600
angles: 107.40 90.00 90.00
Fractional coordinates of all 20 atoms:
Hg 0.2500 0.1457 0.1780
Hg 0.7500 0.8543 0.8220
Hg 0.7500 0.7686 0.5149
Hg 0.2500 0.6760 0.6939
Hg 0.7500 0.5306 0.9201
Hg 0.7500 0.1377 0.6940
Hg 0.2500 0.0575 0.8768
Hg 0.7500 0.9425 0.1232
Hg 0.2500 0.4694 0.0799
Hg 0.7500 0.3240 0.3061
Hg 0.2500 0.8623 0.3060
Hg 0.2500 0.2314 0.4851
Dy 0.2500 0.9429 0.5960
Dy 0.7500 0.0571 0.4040
La 0.7500 0.6491 0.2229
La 0.7500 0.2249 0.0114
La 0.2500 0.5106 0.3808
La 0.7500 0.4894 0.6192
La 0.2500 0.3509 0.7771
La 0.2500 0.7751 0.9886

Output
ρ   10.691 g/cm3
VASP energy   -2.573 eV/atom
Symmetry   P2_1/m

Entry from Alexandria: an optimized crystal structure of La3Dy2Hg2 (PBE).

abc: 3.7687 3.7454 15.8677
angles: 90.00 96.82 90.00
Fractional coordinates of all 7 atoms:
La 0.5826 0.5000 0.1652
La 0.0000 0.0000 0.0000
La 0.4174 0.5000 0.8348
Dy 0.7029 0.5000 0.4058
Dy 0.2971 0.5000 0.5942
Hg 0.1503 0.0000 0.3006
Hg 0.8497 0.0000 0.6994

Output
ρ   8.534 g/cm3
VASP energy   -3.701 eV/atom
Symmetry   Cmmm

In eV per atom, the calculated formation energy values for the records above are, in order, -0.10, -0.45, -0.19.